Record 1
Material: TlCdS2
Method: DFT, SCAN
State: PBEsol geometry

Cell lengths 3.7866, 3.7866, 6.9319 Å; angles 90.00, 90.00, 120.00 degrees
Space group P-6m2 (No. 187)
Inequivalent atoms, fractional coordinates:
Tl 0.0000 0.0000 0.0000 (multiplicity 1)
Cd 0.6667 0.3333 0.5000 (multiplicity 1)
S 0.3333 0.6667 0.2684 (multiplicity 2)

Properties
raw total energy = -30.82 eV/atom
ΔE_f (raw) = -318 meV/atom

=====

Record 2
Material: IrPt2
Method: DFT, SCAN
State: PBEsol geometry

Cell lengths 7.2245, 7.2245, 7.2245 Å; angles 90.00, 90.00, 90.00 degrees
Space group Fd-3m (No. 227, origin choice 2)
Inequivalent atoms, fractional coordinates:
Ir 0.1250 0.1250 0.1250 (multiplicity 8)
Pt 0.0000 0.0000 0.5000 (multiplicity 16)

Properties
raw total energy = -69.75 eV/atom
ΔH_f (0 K) = 0.746 eV per atom

=====

Record 3
Material: Cr5InS8
Method: DFT, SCAN
State: PBEsol geometry

Cell lengths 17.6470, 3.4143, 8.4263 Å; angles 90.00, 104.90, 90.00 degrees
Space group Cm (No. 8)
Inequivalent atoms, fractional coordinates:
Cr 0.0000 0.0000 0.0000 (multiplicity 2)
Cr 0.0461 0.0000 0.3633 (multiplicity 2)
Cr 0.1393 0.5000 0.6945 (multiplicity 2)
Cr 0.1856 0.5000 0.0594 (multiplicity 2)
Cr 0.3421 0.0000 0.0282 (multiplicity 2)
In 0.3556 0.5000 0.5255 (multiplicity 2)
S 0.0123 0.5000 0.5204 (multiplicity 2)
S 0.0801 0.5000 0.1855 (multiplicity 2)
S 0.1055 0.0000 0.8747 (multiplicity 2)
S 0.1719 0.0000 0.5378 (multiplicity 2)
S 0.2590 0.0000 0.2090 (multiplicity 2)
S 0.2663 0.5000 0.8756 (multiplicity 2)
S 0.4180 0.5000 0.1824 (multiplicity 2)
S 0.4265 0.0000 0.8500 (multiplicity 2)

Properties
raw total energy = -15.49 eV/atom
ΔE_f (raw) = -1034 meV/atom

=====

Record 4
Material: Y2SbCl
Method: DFT, SCAN
State: PBEsol geometry

Cell lengths 4.0873, 4.0873, 6.0631 Å; angles 90.00, 90.00, 90.00 degrees
Space group P4mm (No. 99)
Inequivalent atoms, fractional coordinates:
Y 0.0000 0.0000 0.0000 (multiplicity 1)
Y 0.5000 0.5000 0.3930 (multiplicity 1)
Sb 0.5000 0.5000 0.8908 (multiplicity 1)
Cl 0.0000 0.0000 0.4507 (multiplicity 1)

Properties
raw total energy = -26.54 eV/atom
ΔE_f (raw) = -1310 meV/atom

=====

Record 5
Material: YAl2Se
Method: DFT, SCAN
State: PBEsol geometry

Cell lengths 3.6436, 3.6436, 6.0475 Å; angles 90.00, 90.00, 90.00 degrees
Space group P4mm (No. 99)
Inequivalent atoms, fractional coordinates:
Y 0.0000 0.0000 0.0000 (multiplicity 1)
Al 0.0000 0.0000 0.4931 (multiplicity 1)
Al 0.5000 0.5000 0.2924 (multiplicity 1)
Se 0.5000 0.5000 0.7401 (multiplicity 1)

Properties
raw total energy = -16.39 eV/atom
ΔE_f (raw) = -534 meV/atom

=====

Record 6
Material: Mg2AsPb
Method: DFT, SCAN
State: PBEsol geometry

Cell lengths 7.1487, 4.1586, 6.8571 Å; angles 90.00, 110.03, 90.00 degrees
Space group Cm (No. 8)
Inequivalent atoms, fractional coordinates:
Mg 0.0000 0.0000 0.0000 (multiplicity 2)
Mg 0.2030 0.0000 0.6093 (multiplicity 2)
As 0.1008 0.5000 0.8014 (multiplicity 2)
Pb 0.4366 0.0000 0.3039 (multiplicity 2)

Properties
raw total energy = -26.82 eV/atom
ΔH_f (0 K) = -0.337 eV per atom

=====

Record 7
Material: Rb2NaCrCl6
Method: DFT, SCAN
State: PBEsol geometry

Cell lengths 10.0511, 10.0511, 10.0511 Å; angles 90.00, 90.00, 90.00 degrees
Space group Fm-3m (No. 225)
Inequivalent atoms, fractional coordinates:
Rb 0.2500 0.2500 0.2500 (multiplicity 8)
Na 0.0000 0.0000 0.0000 (multiplicity 4)
Cr 0.0000 0.0000 0.5000 (multiplicity 4)
Cl 0.0000 0.0000 0.2686 (multiplicity 24)

Properties
raw total energy = -13.13 eV/atom
ΔE_f (raw) = -1938 meV/atom

=====

Record 8
Material: CrBi2Pt
Method: DFT, SCAN
State: PBEsol geometry

Cell lengths 4.6240, 4.6240, 17.6914 Å; angles 90.00, 90.00, 90.00 degrees
Space group I-42d (No. 122)
Inequivalent atoms, fractional coordinates:
Cr 0.0000 0.0000 0.0000 (multiplicity 4)
Bi 0.2476 0.2500 0.6250 (multiplicity 8)
Pt 0.0000 0.0000 0.5000 (multiplicity 4)

Properties
raw total energy = -61.21 eV/atom
ΔH_f (0 K) = 0.226 eV per atom